Record 1
This record from Alexandria via LeMat-Bulk describes a relaxed structure of Ac2CeGe. The functional is GGA-PBE.

The distance to the lowest polymorph of the same formula is 0 meV/atom.

It has space group P4/mmm (No. 123), with a = 5.128 Å, b = 5.128 Å, c = 4.806 Å, α = 90.00°, β = 90.00° and γ = 90.00°. The asymmetric unit holds Ac at (0.000, 0.500, 0.000), Ce at (0.000, 0.000, 0.500) and Ge at (0.500, 0.500, 0.500).

***

Record 2
This record from Alexandria via LeMat-Bulk describes a relaxed structure of Rb3NpPa2N6. The functional is GGA-PBE.

As for the uncorrected formation energy: -0.9937 eV/atom.

It has space group C2/m (No. 12), with a = 6.236 Å, b = 10.800 Å, c = 7.037 Å, α = 90.00°, β = 107.18° and γ = 90.00°. The asymmetric unit holds Rb at (0.000, 0.000, 0.000), Rb at (0.000, 0.335, 0.000), Np at (0.000, 0.500, 0.500), Pa at (0.000, 0.167, 0.500), N at (0.214, 0.336, 0.650) and N at (0.222, 0.000, 0.650).

***

Record 3
This record from Alexandria via LeMat-Bulk describes a relaxed structure of PrAl2Tl. The functional is GGA-PBE.

The total energy is -3.9159 eV per atom.

It has space group P4/mmm (No. 123), with a = 4.594 Å, b = 4.594 Å, c = 4.492 Å, α = 90.00°, β = 90.00° and γ = 90.00°. The asymmetric unit holds Pr at (0.000, 0.000, 0.000), Al at (0.000, 0.500, 0.500) and Tl at (0.500, 0.500, 0.000).

***

Record 4
This record from Alexandria via LeMat-Bulk describes a relaxed structure of TaTiV2. The functional is GGA-PBE.

The distance to the lowest polymorph of the same formula is 3 meV/atom.

It has space group Fm-3m (No. 225), with a = 6.301 Å, b = 6.301 Å, c = 6.301 Å, α = 90.00°, β = 90.00° and γ = 90.00°. The asymmetric unit holds Ta at (0.000, 0.000, 0.000), Ti at (0.000, 0.000, 0.500) and V at (0.250, 0.250, 0.250).

***

Record 5
This record from Alexandria via LeMat-Bulk describes a relaxed structure of YTaRe. The functional is GGA-PBE.

The distance to the lowest polymorph of the same formula is 217 meV/atom.

It has space group Fmm2 (No. 42), with a = 3.333 Å, b = 5.008 Å, c = 14.323 Å, α = 90.00°, β = 90.00° and γ = 90.00°. The asymmetric unit holds Y at (0.000, 0.000, 0.000), Ta at (0.000, 0.000, 0.694) and Re at (0.000, 0.000, 0.331).

***

Record 6
This record from Alexandria via LeMat-Bulk describes a relaxed structure of BaTm2Te4. The functional is GGA-PBE.

As for the uncorrected formation energy: -1.5180 eV/atom. The distance to the lowest polymorph of the same formula is 0 meV/atom.

It has space group Pnma (No. 62), with a = 13.737 Å, b = 4.450 Å, c = 16.166 Å, α = 90.00°, β = 90.00° and γ = 90.00°. The asymmetric unit holds Ba at (0.238, 0.250, 0.170), Tm at (0.058, 0.250, 0.390), Tm at (0.081, 0.250, 0.904), Te at (0.028, 0.750, 0.784), Te at (0.090, 0.250, 0.575), Te at (0.126, 0.750, 0.028) and Te at (0.204, 0.750, 0.342).

***

Record 7
This record from Alexandria via LeMat-Bulk describes a relaxed structure of PrMg15In4. The functional is GGA-PBE.

The total energy is -2.0530 eV per atom.

It has space group P4/mmm (No. 123), with a = 4.741 Å, b = 4.741 Å, c = 20.979 Å, α = 90.00°, β = 90.00° and γ = 90.00°. The asymmetric unit holds Pr at (0.000, 0.000, 0.000), Mg at (0.000, 0.500, 0.109), Mg at (0.000, 0.500, 0.303), Mg at (0.000, 0.500, 0.500), Mg at (0.500, 0.500, 0.000), Mg at (0.500, 0.500, 0.208), Mg at (0.500, 0.500, 0.400), In at (0.000, 0.000, 0.203) and In at (0.000, 0.000, 0.403).